Ca3Sc2: optimized geometry, GGA-PBE.

Computed properties:
- Energy above the lowest structure with this stoichiometry: 140.0 meV per atom
- Calculated formation energy: 0.400 eV/atom
- Electronic total energy: -0.1225 Ha/atom
- Fermi-level density of states: 9.60 states/eV/cell

a = 5.5988 Å, b = 5.5988 Å, c = 6.9455 Å
α = 90.00°, β = 90.00°, γ = 120.00°
Closest atoms and distances in Å follow each position.
Space group P-3m1 (No. 164)
Inequivalent atoms, fractional coordinates:
Ca 0.0000 0.0000 0.0000 [1 per cell]  6 Sc 3.32
Ca 0.3333 0.6667 0.3599 [2 per cell]  1 Sc 3.24
Sc 0.3333 0.6667 0.8934 [2 per cell]  4 Ca 3.24-3.32, 3 Sc 3.56